Compound: YEr2Zr
Source: the Alexandria database
Functional: GGA-PBE
Structure: relaxed

a = 7.754 Å, b = 7.754 Å, c = 7.754 Å
α = 90.00°, β = 90.00°, γ = 90.00°
Space group Fm-3m (No. 225)
Symmetry-distinct sites (fractional):
Y1 0.000 0.000 0.000 (multiplicity 4)
Er1 0.250 0.250 0.250 (multiplicity 8)
Zr1 0.000 0.000 0.500 (multiplicity 4)

* formation energy from the elements: 206 meV per atom
* distance to the lowest polymorph of the same formula: 0.141 eV per atom